No. 1
First-principles (PBE) data for crystalline Pr2Ti3Ge4 at its relaxed geometry, as listed in Alexandria via LeMat-Bulk.

VASP energy = -6.473 eV/atom
calculated volume = 181 Å³/f.u.

abc: 7.3183 7.2989 7.1698
angles: 90.00 109.47 90.00
Fractional positions:
Pr1 0.1860 0.1676 0.0611
Pr2 0.1860 0.3324 0.5611
Pr3 0.8140 0.6676 0.4389
Pr4 0.8140 0.8324 0.9389
Ti1 0.2601 0.6664 0.2504
Ti2 0.2601 0.8336 0.7504
Ti3 0.5000 0.0000 0.5000
Ti4 0.5000 0.5000 0.0000
Ti5 0.7399 0.1664 0.2496
Ti6 0.7399 0.3336 0.7496
Ge1 0.0958 0.5490 0.8700
Ge2 0.0958 0.9510 0.3700
Ge3 0.4995 0.1348 0.8620
Ge4 0.4995 0.3652 0.3620
Ge5 0.5005 0.6348 0.6380
Ge6 0.5005 0.8652 0.1380
Ge7 0.9042 0.0490 0.6300
Ge8 0.9042 0.4510 0.1300

No. 2
First-principles (PBE) data for crystalline NdDyTmCd at its relaxed geometry, as listed in Alexandria via LeMat-Bulk.

offset from the most stable computed form = 42.6 kJ/mol of formula units
calculated volume = 116 Å³/f.u.

abc: 5.4806 5.4806 5.4806
angles: 60.00 60.00 60.00
Fractional positions:
Nd1 0.0000 0.0000 0.0000
Dy1 0.5000 0.5000 0.5000
Tm1 0.2500 0.2500 0.2500
Cd1 0.7500 0.7500 0.7500

No. 3
First-principles (PBE) data for crystalline TlSn2BiAu at its relaxed geometry, as listed in Alexandria via LeMat-Bulk.

VASP energy = -3.460 eV/atom
calculated volume = 166 Å³/f.u.

abc: 5.1904 5.1904 6.1494
angles: 90.00 90.00 90.00
Fractional positions:
Tl1 0.0000 0.0000 0.0000
Sn1 0.0000 0.5000 0.3985
Sn2 0.5000 0.0000 0.3985
Bi1 0.5000 0.5000 0.0894
Au1 0.0000 0.0000 0.5406

No. 4
First-principles (PBE) data for crystalline La6CdIn2Co at its relaxed geometry, as listed in Alexandria via LeMat-Bulk.

VASP energy = -4.565 eV/atom
calculated volume = 295 Å³/f.u.

abc: 6.6431 6.6699 6.6716
angles: 87.33 87.16 87.49
Fractional positions:
La1 0.0859 0.2556 0.3605
La2 0.2449 0.1381 0.9150
La3 0.3607 0.5858 0.7560
La4 0.6393 0.4142 0.2440
La5 0.7551 0.8619 0.0850
La6 0.9141 0.7444 0.6395
Cd1 0.5000 0.0000 0.5000
In1 0.2322 0.7321 0.2333
In2 0.7678 0.2679 0.7667
Co1 0.0000 0.5000 0.0000

No. 5
First-principles (PBE) data for crystalline Rb2Tl2Sn15 at its relaxed geometry, as listed in Alexandria via LeMat-Bulk.

VASP energy = -3.527 eV/atom
calculated volume = 598 Å³/f.u.

abc: 8.4957 8.4957 8.4957
angles: 82.20 82.20 82.20
Fractional positions:
Rb1 0.1589 0.1589 0.1589
Rb2 0.8411 0.8411 0.8411
Tl1 0.3986 0.3986 0.3986
Tl2 0.6014 0.6014 0.6014
Sn1 0.0000 0.5000 0.5000
Sn2 0.1473 0.1473 0.6541
Sn3 0.1473 0.6541 0.1473
Sn4 0.2051 0.5000 0.7949
Sn5 0.2051 0.7949 0.5000
Sn6 0.3459 0.8527 0.8527
Sn7 0.5000 0.0000 0.5000
Sn8 0.5000 0.2051 0.7949
Sn9 0.5000 0.5000 0.0000
Sn10 0.5000 0.7949 0.2051
Sn11 0.6541 0.1473 0.1473
Sn12 0.7949 0.2051 0.5000
Sn13 0.7949 0.5000 0.2051
Sn14 0.8527 0.3459 0.8527
Sn15 0.8527 0.8527 0.3459

No. 6
First-principles (PBE) data for crystalline Ac2YTl3 at its relaxed geometry, as listed in Alexandria via LeMat-Bulk.

offset from the most stable computed form = 0.0 kJ/mol of formula units
calculated volume = 195 Å³/f.u.

abc: 3.9775 3.9775 12.3231
angles: 90.00 90.00 90.00
Fractional positions:
Ac1 0.0000 0.0000 0.1768
Ac2 0.0000 0.0000 0.8232
Y1 0.0000 0.0000 0.5000
Tl1 0.5000 0.5000 0.0000
Tl2 0.5000 0.5000 0.3581
Tl3 0.5000 0.5000 0.6419

Which value of calculated volume does entry 4 give?
295 Å³/f.u.

Which value of calculated volume does entry 2 give?
116 Å³/f.u.

Look up the calculated volume of the second one.
116 Å³/f.u.

Look up the calculated volume of the first one.
181 Å³/f.u.